[1]
The following is a SCAN calculation of a PBEsol-optimized structure of RbBiH2, from Alexandria.

* space-group type: No. 122

POSCAR file:
```
RbBiH2
1.0
5.308 0.000 0.000
0.000 5.308 0.000
0.000 0.000 13.100
Rb Bi H
4 4 8
Direct
0.000 0.000 0.000
0.000 0.500 0.250
0.500 0.000 0.750
0.500 0.500 0.500
0.000 0.000 0.500
0.000 0.500 0.750
0.500 0.000 0.250
0.500 0.500 0.000
0.087 0.250 0.625
0.250 0.587 0.875
0.250 0.913 0.375
0.413 0.250 0.125
0.587 0.750 0.125
0.750 0.087 0.375
0.750 0.413 0.875
0.913 0.750 0.625
```

[2]
The following is a SCAN calculation of a PBEsol-optimized structure of Mo2WSe6, from Alexandria.

* space-group type: No. 187
* ΔE_f (raw): -5.74 eV per formula unit

POSCAR file:
```
Mo2WSe6
1.0
3.268 0.000 0.000
-1.634 2.830 0.000
0.000 0.000 20.519
Mo W Se
2 1 6
Direct
0.000 0.000 0.181
0.000 0.000 0.819
0.667 0.333 0.500
0.000 0.000 0.418
0.000 0.000 0.582
0.667 0.333 0.100
0.667 0.333 0.263
0.667 0.333 0.737
0.667 0.333 0.900
```

[3]
The following is a SCAN calculation of a PBEsol-optimized structure of CaMgAgIr2, from Alexandria.

* space-group type: No. 123

POSCAR file:
```
CaMgAgIr2
1.0
4.918 0.000 0.000
0.000 4.918 0.000
0.000 0.000 4.590
Ca Mg Ag Ir
1 1 1 2
Direct
0.000 0.000 0.000
0.500 0.500 0.000
0.500 0.500 0.500
0.000 0.500 0.500
0.500 0.000 0.500
```

[4]
The following is a SCAN calculation of a PBEsol-optimized structure of BaCu9Ge4, from Alexandria.

* space-group type: No. 140

POSCAR file:
```
BaCu9Ge4
1.0
-4.117 4.117 5.932
4.117 -4.117 5.932
4.117 4.117 -5.932
Ba Cu Ge
2 18 8
Direct
0.250 0.250 0.000
0.750 0.750 0.000
0.000 0.500 0.500
0.061 0.561 0.267
0.062 0.796 0.857
0.204 0.062 0.266
0.205 0.939 0.500
0.295 0.795 0.733
0.296 0.562 0.857
0.438 0.296 0.734
0.439 0.705 0.500
0.500 0.000 0.500
0.561 0.295 0.500
0.562 0.704 0.266
0.704 0.438 0.143
0.705 0.205 0.267
0.795 0.061 0.500
0.796 0.938 0.734
0.938 0.204 0.143
0.939 0.439 0.733
0.058 0.200 0.500
0.200 0.700 0.143
0.300 0.442 0.500
0.442 0.942 0.143
0.558 0.058 0.857
0.700 0.558 0.500
0.800 0.300 0.857
0.942 0.800 0.500
```

[5]
The following is a SCAN calculation of a PBEsol-optimized structure of InHgRh2, from Alexandria.

* space-group type: No. 216

POSCAR file:
```
InHgRh2
1.0
6.421 0.000 0.000
0.000 6.421 0.000
0.000 0.000 6.421
In Hg Rh
4 4 8
Direct
0.000 0.000 0.000
0.000 0.500 0.500
0.500 0.000 0.500
0.500 0.500 0.000
0.250 0.250 0.250
0.250 0.750 0.750
0.750 0.250 0.750
0.750 0.750 0.250
0.000 0.000 0.500
0.000 0.500 0.000
0.250 0.250 0.750
0.250 0.750 0.250
0.500 0.000 0.000
0.500 0.500 0.500
0.750 0.250 0.250
0.750 0.750 0.750
```

[6]
The following is a SCAN calculation of a PBEsol-optimized structure of MnAg2SbPb, from Alexandria.

* space-group type: No. 123
* ΔE_f (raw): 3.83 eV per formula unit

POSCAR file:
```
MnAg2SbPb
1.0
5.142 0.000 0.000
0.000 5.142 0.000
0.000 0.000 5.091
Mn Ag Sb Pb
1 2 1 1
Direct
0.000 0.000 0.000
0.000 0.500 0.500
0.500 0.000 0.500
0.500 0.500 0.000
0.000 0.000 0.500
```

[7]
The following is a SCAN calculation of a PBEsol-optimized structure of CeSBr, from Alexandria.

* space-group type: No. 61
* ΔE_f (raw): -6.74 eV per formula unit

POSCAR file:
```
CeSBr
1.0
6.817 0.000 0.000
0.000 13.545 0.000
0.000 0.000 7.023
Ce S Br
8 8 8
Direct
0.242 0.091 0.036
0.242 0.409 0.536
0.258 0.591 0.036
0.258 0.909 0.536
0.742 0.091 0.464
0.742 0.409 0.964
0.758 0.591 0.464
0.758 0.909 0.964
0.001 0.027 0.742
0.001 0.473 0.242
0.499 0.527 0.742
0.499 0.973 0.242
0.501 0.027 0.758
0.501 0.473 0.258
0.999 0.527 0.758
0.999 0.973 0.258
0.152 0.706 0.390
0.152 0.794 0.890
0.348 0.206 0.390
0.348 0.294 0.890
0.652 0.706 0.110
0.652 0.794 0.610
0.848 0.206 0.110
0.848 0.294 0.610
```

[8]
The following is a SCAN calculation of a PBEsol-optimized structure of LaZnN2Cl, from Alexandria.

* space-group type: No. 123
* ΔE_f (raw): 3.59 eV per formula unit

POSCAR file:
```
LaZnN2Cl
1.0
4.143 0.000 0.000
0.000 4.143 0.000
0.000 0.000 9.157
La Zn N Cl
1 1 2 1
Direct
0.000 0.000 0.000
0.000 0.000 0.500
0.000 0.500 0.000
0.500 0.000 0.000
0.500 0.500 0.500
```

[9]
The following is a SCAN calculation of a PBEsol-optimized structure of MgBePt2, from Alexandria.

* space-group type: No. 123

POSCAR file:
```
MgBePt2
1.0
2.817 0.000 0.000
0.000 2.817 0.000
0.000 0.000 6.684
Mg Be Pt
1 1 2
Direct
0.000 0.000 0.000
0.000 0.000 0.500
0.500 0.500 0.288
0.500 0.500 0.712
```

[10]
The following is a SCAN calculation of a PBEsol-optimized structure of Ba3Si6N2O12, from Alexandria.

* space-group type: No. 147
* ΔE_f (raw): -67.88 eV per formula unit

POSCAR file:
```
Ba3Si6N2O12
1.0
7.520 0.000 0.000
-3.760 6.513 0.000
0.000 0.000 6.474
Ba Si N O
3 6 2 12
Direct
0.000 0.000 0.000
0.333 0.667 0.103
0.667 0.333 0.897
0.170 0.763 0.611
0.237 0.407 0.611
0.407 0.170 0.389
0.593 0.830 0.611
0.763 0.593 0.389
0.830 0.237 0.389
0.333 0.667 0.564
0.667 0.333 0.436
0.016 0.698 0.407
0.059 0.699 0.831
0.301 0.360 0.831
0.302 0.318 0.407
0.318 0.016 0.593
0.360 0.059 0.169
0.640 0.941 0.831
0.682 0.984 0.407
0.698 0.682 0.593
0.699 0.640 0.169
0.941 0.301 0.169
0.984 0.302 0.593
```

[11]
The following is a SCAN calculation of a PBEsol-optimized structure of BaLa2Tl, from Alexandria.

* space-group type: No. 71
* E above lowest polymorph: 0.0000 eV per atom

POSCAR file:
```
BaLa2Tl
1.0
3.997 0.000 0.000
0.000 5.879 0.000
0.000 0.000 12.300
Ba La Tl
2 4 2
Direct
0.000 0.000 0.000
0.500 0.500 0.500
0.000 0.500 0.215
0.000 0.500 0.785
0.500 0.000 0.285
0.500 0.000 0.715
0.000 0.000 0.500
0.500 0.500 0.000
```

[12]
The following is a SCAN calculation of a PBEsol-optimized structure of HgTe2Au, from Alexandria.

* space-group type: No. 166
* ΔE_f (raw): -0.43 eV per formula unit

POSCAR file:
```
HgTe2Au
1.0
4.121 0.000 0.000
-2.060 3.569 0.000
0.000 0.000 20.502
Hg Te Au
3 6 3
Direct
0.000 0.000 0.000
0.333 0.667 0.667
0.667 0.333 0.333
0.000 0.000 0.241
0.000 0.000 0.759
0.333 0.667 0.425
0.333 0.667 0.908
0.667 0.333 0.092
0.667 0.333 0.575
0.000 0.000 0.500
0.333 0.667 0.167
0.667 0.333 0.833
```

Computed calculated total energy, in the same sequence as the records: -422.2 -265.7 -183.9 -511.0 -674.1 -190.2 -643.1 -79.6 -153.7 -340.0 -398.4 -636.8 eV for the cell shown.